Li2Mg2GaHgAu2 | PBE | relaxed

Cell lengths 4.5842, 4.5842, 6.5648 Å; angles 90.00, 90.00, 90.00 degrees
Fractional positions:
Mg  0.0000  0.0000  0.5000
Mg  0.5000  0.5000  0.0000
Ga  0.0000  0.0000  0.0000
Li  0.0000  0.5000  0.7582
Li  0.5000  0.0000  0.2418
Au  0.5000  0.0000  0.7746
Au  0.0000  0.5000  0.2254
Hg  0.5000  0.5000  0.5000

Results
Total DFT energy (no corrections) in eV/atom: -2.54

ZrFeBPt | PBE | relaxed

Cell lengths 4.3603, 4.3603, 4.3603 Å; angles 60.00, 60.00, 60.00 degrees
Fractional positions:
B  0.0000  0.0000  0.0000
Pt  0.5000  0.5000  0.5000
Zr  0.2500  0.2500  0.2500
Fe  0.7500  0.7500  0.7500

Results
Spin magnetization in μB/atom: 0.77
Distance to the lowest polymorph of the same formula in meV per atom: 0

DyY2In3Co3 | PBE | relaxed

Cell lengths 3.8523, 7.3633, 7.3633 Å; angles 119.77, 90.00, 90.00 degrees
Fractional positions:
In  0.5000  0.7466  0.7466
In  0.5000  0.9996  0.2540
In  0.5000  0.2540  0.9996
Co  0.5000  0.6641  0.3341
Co  0.5000  0.3341  0.6641
Co  0.0000  0.0011  0.0011
Dy  0.0000  0.4092  0.4092
Y  0.0000  0.0000  0.5913
Y  0.0000  0.5913  0.0000

Results
Spin magnetization in μB/atom: 0.00
Total DFT energy (no corrections) in eV/atom: -5.52

LuGeIr2 | PBE | relaxed

Cell lengths 4.5928, 4.5928, 4.5928 Å; angles 60.00, 60.00, 60.00 degrees
Fractional positions:
Ir  0.0000  0.0000  0.0000
Ir  0.7500  0.7500  0.7500
Lu  0.2500  0.2500  0.2500
Ge  0.5000  0.5000  0.5000

Results
Spin magnetization in μB/atom: 0.12
Total DFT energy (no corrections) in eV/atom: -6.87

NdGeAsIr2 | PBE | relaxed

Cell lengths 4.3356, 4.3356, 9.9602 Å; angles 90.00, 90.00, 90.00 degrees
Fractional positions:
Ge  0.0000  0.5000  0.6324
Ge  0.5000  0.0000  0.3676
Ir  0.5000  0.5000  0.5000
Ir  0.0000  0.5000  0.8795
Ir  0.5000  0.0000  0.1205
Ir  0.0000  0.0000  0.5000
As  0.5000  0.5000  0.0000
As  0.0000  0.0000  0.0000
Nd  0.5000  0.0000  0.7564
Nd  0.0000  0.5000  0.2436

Results
Spin magnetization in μB/atom: 0.00
Total DFT energy (no corrections) in eV/atom: -7.13

Lu3Mg4 | PBE | relaxed

Cell lengths 8.8994, 8.8994, 5.2885 Å; angles 90.00, 90.00, 60.00 degrees
Fractional positions:
Mg  0.9980  0.0027  0.0000
Mg  0.0952  0.5238  0.5000
Mg  0.7136  0.4266  0.0000
Mg  0.5741  0.1422  0.0000
Mg  0.9497  0.2388  0.5000
Mg  0.4286  0.8571  0.0000
Mg  0.5258  0.3783  0.5000
Mg  0.8102  0.9544  0.5000
Lu  0.2906  0.5631  0.0000
Lu  0.1345  0.2892  0.0000
Lu  0.3893  0.0918  0.5000
Lu  0.8606  0.7192  0.0000
Lu  0.6632  0.6618  0.5000
Lu  0.2332  0.8179  0.5000

Results
Spin magnetization in μB/atom: 0.00
Distance to the lowest polymorph of the same formula in meV per atom: 17

SmAgPt | PBE | relaxed

Cell lengths 10.4809, 10.4809, 10.4809 Å; angles 158.93, 158.93, 29.97 degrees
Fractional positions:
Ag  0.9343  0.9343  0.0000
Ag  0.0657  0.0657  0.0000
Pt  0.7940  0.7940  0.0000
Pt  0.2060  0.2060  0.0000
Sm  0.6499  0.6499  0.0000
Sm  0.3501  0.3501  0.0000

Results
Calculated formation energy in eV/atom: -0.5127
Spin magnetization in μB/atom: 0.00
Distance to the lowest polymorph of the same formula in meV per atom: 127

SiNi3Ge2Pd3 | PBE | relaxed

Cell lengths 6.3461, 6.3461, 3.4581 Å; angles 90.00, 90.00, 120.00 degrees
Fractional positions:
Si  0.0000  0.0000  0.5000
Ni  0.7511  0.7511  0.0000
Ni  0.0000  0.2489  0.0000
Ni  0.2489  0.0000  0.0000
Ge  0.3333  0.6667  0.0000
Ge  0.6667  0.3333  0.0000
Pd  0.3917  0.3917  0.5000
Pd  0.0000  0.6083  0.5000
Pd  0.6083  0.0000  0.5000

Results
Spin magnetization in μB/atom: 0.00
Total DFT energy (no corrections) in eV/atom: -5.73

Copy entry 5 word for word.
NdGeAsIr2 | PBE | relaxed

Cell lengths 4.3356, 4.3356, 9.9602 Å; angles 90.00, 90.00, 90.00 degrees
Fractional positions:
Ge  0.0000  0.5000  0.6324
Ge  0.5000  0.0000  0.3676
Ir  0.5000  0.5000  0.5000
Ir  0.0000  0.5000  0.8795
Ir  0.5000  0.0000  0.1205
Ir  0.0000  0.0000  0.5000
As  0.5000  0.5000  0.0000
As  0.0000  0.0000  0.0000
Nd  0.5000  0.0000  0.7564
Nd  0.0000  0.5000  0.2436

Results
Spin magnetization in μB/atom: 0.00
Total DFT energy (no corrections) in eV/atom: -7.13